Below is a crystal of KSc2SeI relaxed with PBEsol, with properties calculated at the meta-GGA SCAN level.

Lattice parameters (Å, degrees): 5.0416 5.0416 6.5099 90.00 90.00 90.00
Space group P4/mmm (No. 123)
Asymmetric unit:
K 0.0000 0.0000 0.0000 [1 per cell]
Sc 0.0000 0.5000 0.5000 [2 per cell]
Se 0.0000 0.0000 0.5000 [1 per cell]
I 0.5000 0.5000 0.0000 [1 per cell]

raw total energy	-19.28	eV per atom
formation energy (no corrections)	-0.56	eV/atom